Tl2HgCl after structural relaxation, computed with GGA-PBEsol.

Lattice parameters (Å, degrees): 4.8067 4.8875 5.6523 115.62 115.16 90.00
Last column: nearest neighbours and their distance in Å.
Sites, in units of the cell vectors:
1 Tl 0.7420 0.7420 0.4839  4 Hg 3.24-3.37, 4 Cl 3.27-3.34, 4 Tl 3.43
2 Tl 0.2580 0.2580 0.5161  4 Hg 3.24-3.37, 4 Cl 3.27-3.34, 4 Tl 3.43
3 Hg 0.0000 0.5000 0.0000  8 Tl 3.24-3.37, 4 Cl 3.43
4 Cl 0.5000 0.0000 0.0000  8 Tl 3.27-3.34, 4 Hg 3.43

Summary:
Energy above the most stable polymorph in this dataset   0.043 eV per atom
ρ   10.14 g/cm3
SG   Immm (71)
D(E_F)   1.23 states/eV/f.u.

***

LiNb2FeTc after structural relaxation, computed with GGA-PBEsol.

Lattice parameters (Å, degrees): 3.5352 4.4658 4.4658 90.00 90.00 90.00
Last column: nearest neighbours and their distance in Å.
Sites, in units of the cell vectors:
1 Nb 0.0000 0.0000 0.5000  2 Li 2.23
2 Nb 0.0000 0.5000 0.0000  2 Li 2.23
3 Li 0.0000 0.0000 0.0000  2 Fe 1.77
4 Tc 0.5000 0.5000 0.5000  8 Nb 2.85, 4 Fe 3.16
5 Fe 0.5000 0.0000 0.0000  2 Li 1.77

Summary:
ρ   8.16 g/cm3
DFT formation energy   97.32 kJ/mol of atoms
SG   P4/mmm (123)
D(E_F)   4.43 states/eV/f.u.

***

KTcSb2 after structural relaxation, computed with GGA-PBEsol.

Lattice parameters (Å, degrees): 3.1148 6.4050 6.4155 119.95 104.05 90.00
Last column: nearest neighbours and their distance in Å.
Sites, in units of the cell vectors:
1 K 0.0000 0.5000 0.0000  2 K 3.11
2 Sb 0.8029 0.8029 0.6057  2 Tc 2.62
3 Sb 0.1971 0.1971 0.3943  2 Tc 2.62
4 Tc 0.5000 0.0000 0.0000  4 Sb 2.62

Summary:
Energy above the most stable polymorph in this dataset   0.450 eV per atom
ρ   5.94 g/cm3
SG   Immm (71)
D(E_F)   2.49 states/eV/f.u.

***

LaFeSe2 after structural relaxation, computed with GGA-PBEsol.

Lattice parameters (Å, degrees): 3.6299 3.8150 6.8427 106.19 105.38 90.00
Last column: nearest neighbours and their distance in Å.
Sites, in units of the cell vectors:
1 Fe 0.4580 0.4580 0.9161  6 Se 2.59-2.77
2 La 0.2036 0.7036 0.4071  6 Se 2.94-2.97
3 Se 0.0268 0.0268 0.0536  4 Fe 2.77, 2 La 2.94
4 Se 0.8116 0.3116 0.6232  2 Fe 2.59

Summary:
Energy above the most stable polymorph in this dataset   0.148 eV per atom
ρ   6.70 g/cm3
SG   Imm2 (44)
D(E_F)   2.16 states/eV/f.u.

***

Ca3AuBr after structural relaxation, computed with GGA-PBEsol.

Lattice parameters (Å, degrees): 5.3646 5.3646 5.3646 90.00 90.00 90.00
Last column: nearest neighbours and their distance in Å.
Sites, in units of the cell vectors:
1 Ca 0.0000 0.5000 0.0000  2 Br 2.68
2 Ca 0.0000 0.0000 0.5000  2 Br 2.68
3 Ca 0.5000 0.0000 0.0000  2 Br 2.68
4 Au 0.5000 0.5000 0.5000  12 Ca 3.79
5 Br 0.0000 0.0000 0.0000  6 Ca 2.68

Summary:
Final energy   -2.736 eV/atom
ρ   4.27 g/cm3
SG   Pm-3m (221)
D(E_F)   6.30 states/eV/f.u.

***

ZrOs3F after structural relaxation, computed with GGA-PBEsol.

Lattice parameters (Å, degrees): 4.2118 4.2118 4.2118 90.00 90.00 90.00
Last column: nearest neighbours and their distance in Å.
Sites, in units of the cell vectors:
1 Os 0.0000 0.5000 0.0000  2 F 2.11
2 Os 0.0000 0.0000 0.5000  2 F 2.11
3 Os 0.5000 0.0000 0.0000  2 F 2.11
4 Zr 0.5000 0.5000 0.5000  12 Os 2.98
5 F 0.0000 0.0000 0.0000  6 Os 2.11

Summary:
Energy above the most stable polymorph in this dataset   0.000 eV per atom
ρ   15.13 g/cm3
SG   Pm-3m (221)
D(E_F)   4.27 states/eV/f.u.

***

Tl2CdAu2 after structural relaxation, computed with GGA-PBEsol.

Lattice parameters (Å, degrees): 3.8078 3.8078 8.6153 102.77 102.77 90.00
Last column: nearest neighbours and their distance in Å.
Sites, in units of the cell vectors:
1 Tl 0.3938 0.3938 0.7876  4 Au 3.03, 4 Cd 3.20
2 Tl 0.6062 0.6062 0.2124  4 Au 3.03, 4 Cd 3.20
3 Au 0.2500 0.7500 0.5000  4 Au 2.69
4 Au 0.7500 0.2500 0.5000  4 Au 2.69
5 Cd 0.0000 0.0000 0.0000  8 Tl 3.20

Summary:
Energy above the most stable polymorph in this dataset   0.088 eV per atom
ρ   12.81 g/cm3
DFT formation energy   8.81 kJ/mol of atoms
SG   I4/mmm (139)
D(E_F)   2.03 states/eV/f.u.

***

ScAlGa2 after structural relaxation, computed with GGA-PBEsol.

Lattice parameters (Å, degrees): 4.6200 4.6200 4.6200 60.00 60.00 60.00
Last column: nearest neighbours and their distance in Å.
Sites, in units of the cell vectors:
1 Sc 0.5000 0.5000 0.5000  8 Ga 2.83
2 Al 0.0000 0.0000 0.0000  8 Ga 2.83
3 Ga 0.2500 0.2500 0.2500  4 Al 2.83, 4 Sc 2.83
4 Ga 0.7500 0.7500 0.7500  4 Sc 2.83, 4 Al 2.83

Summary:
ρ   5.03 g/cm3
DFT formation energy   -23.58 kJ/mol of atoms
SG   Fm-3m (225)
D(E_F)   2.72 states/eV/f.u.

***

Ag2RhSe after structural relaxation, computed with GGA-PBEsol.

Lattice parameters (Å, degrees): 3.1198 4.3849 4.7216 90.00 90.00 90.00
Last column: nearest neighbours and their distance in Å.
Sites, in units of the cell vectors:
1 Ag 0.0000 0.0000 0.0000  4 Ag 2.69, 4 Rh 2.83
2 Ag 0.5000 0.5000 0.0000  4 Ag 2.69, 4 Se 2.83
3 Rh 0.5000 0.0000 0.5000  4 Se 2.69, 4 Ag 2.83
4 Se 0.0000 0.5000 0.5000  4 Rh 2.69, 4 Ag 2.83

Summary:
Final energy   -4.480 eV/atom
ρ   10.22 g/cm3
SG   Pmmm (47)
D(E_F)   2.72 states/eV/f.u.

***

Ti3ZnAg after structural relaxation, computed with GGA-PBEsol.

Lattice parameters (Å, degrees): 4.5995 4.5995 4.5995 90.00 90.00 90.00
Last column: nearest neighbours and their distance in Å.
Sites, in units of the cell vectors:
1 Zn 0.0000 0.0000 0.0000  6 Ti 2.30
2 Ag 0.5000 0.5000 0.5000  12 Ti 3.25
3 Ti 0.0000 0.5000 0.0000  2 Zn 2.30
4 Ti 0.0000 0.0000 0.5000  2 Zn 2.30
5 Ti 0.5000 0.0000 0.0000  2 Zn 2.30

Summary:
ρ   5.41 g/cm3
DFT formation energy   82.33 kJ/mol of atoms
SG   Pm-3m (221)
D(E_F)   11.72 states/eV/f.u.

***

K2LiTa after structural relaxation, computed with GGA-PBEsol.

Lattice parameters (Å, degrees): 4.7796 4.7796 6.6251 111.14 111.14 90.00
Last column: nearest neighbours and their distance in Å.
Sites, in units of the cell vectors:
1 K 0.7500 0.2500 0.5000  4 K 3.38, 4 Li 3.72, 4 Ta 3.72
2 K 0.2500 0.7500 0.5000  4 K 3.38, 4 Li 3.72, 4 Ta 3.72
3 Li 0.5000 0.5000 0.0000  4 Ta 3.38, 8 K 3.72
4 Ta 0.0000 0.0000 0.0000  4 Li 3.38, 8 K 3.72

Summary:
Energy above the most stable polymorph in this dataset   0.506 eV per atom
ρ   3.39 g/cm3
DFT formation energy   141.28 kJ/mol of atoms
SG   I4/mmm (139)
D(E_F)   2.99 states/eV/f.u.

***

BaCuO2F after structural relaxation, computed with GGA-PBEsol.

Lattice parameters (Å, degrees): 3.8453 3.8453 4.3072 90.00 90.00 90.00
Last column: nearest neighbours and their distance in Å.
Sites, in units of the cell vectors:
1 O 0.0000 0.5000 0.0000  2 Cu 1.92
2 O 0.5000 0.0000 0.0000  2 Cu 1.92
3 Ba 0.5000 0.5000 0.5000  4 F 2.72, 8 O 2.89
4 Cu 0.0000 0.0000 0.0000  4 O 1.92
5 F 0.0000 0.0000 0.5000  2 Cu 2.15

Summary:
Final energy   -5.614 eV/atom
ρ   6.57 g/cm3
SG   P4/mmm (123)
D(E_F)   4.18 states/eV/f.u.

***

DyBRh3 after structural relaxation, computed with GGA-PBEsol.

Lattice parameters (Å, degrees): 4.1390 4.1390 4.1390 90.00 90.00 90.00
Last column: nearest neighbours and their distance in Å.
Sites, in units of the cell vectors:
1 B 0.5000 0.5000 0.5000  6 Rh 2.07
2 Rh 0.0000 0.5000 0.5000  2 B 2.07
3 Rh 0.5000 0.5000 0.0000  2 B 2.07
4 Rh 0.5000 0.0000 0.5000  2 B 2.07
5 Dy 0.0000 0.0000 0.0000  12 Rh 2.93

Summary:
ρ   11.29 g/cm3
DFT formation energy   -77.37 kJ/mol of atoms
SG   Pm-3m (221)
D(E_F)   3.67 states/eV/f.u.

***

YB2As2 after structural relaxation, computed with GGA-PBEsol.

Lattice parameters (Å, degrees): 3.6973 6.3932 6.3932 90.00 90.00 90.00
Last column: nearest neighbours and their distance in Å.
Sites, in units of the cell vectors:
1 Y 0.0000 0.0000 0.0000  4 B 2.67
2 Y 0.0000 0.5000 0.5000  4 B 2.67
3 As 0.5000 0.1471 0.6471  4 B 2.42, 1 As 2.66
4 As 0.5000 0.6471 0.8529  4 B 2.42, 1 As 2.66
5 As 0.5000 0.8529 0.3529  4 B 2.42, 1 As 2.66
6 As 0.5000 0.3529 0.1471  4 B 2.42, 1 As 2.66
7 B 0.0000 0.4080 0.9080  1 B 1.66
8 B 0.0000 0.9080 0.5920  1 B 1.66
9 B 0.0000 0.5920 0.0920  1 B 1.66
10 B 0.0000 0.0920 0.4080  1 B 1.66

Summary:
ρ   5.72 g/cm3
DFT formation energy   21.02 kJ/mol of atoms
SG   P4/mbm (127)
D(E_F)   1.16 states/eV/f.u.